Model a:
NdSm6Tl (PBE-GGA, optimized geometry); space-group type = P-1 (2); total moment = 0.0 Bohr magnetons per cell
1.0
-3.741 7.849 -2.452
-6.355 3.769 5.117
-0.758 5.699 2.760
Nd Sm Tl
1 6 1
direct
0.500 0.500 0.500
0.002 0.498 0.743
0.758 0.997 0.742
0.506 0.242 0.248
0.242 0.003 0.258
0.998 0.502 0.257
0.494 0.758 0.752
0.000 0.000 0.000

Model b:
NdSm6Tl (PBE-GGA, optimized geometry); space-group type = P4/mmm (123); total moment = 0.0 Bohr magnetons per cell
1.0
4.992 0.000 0.000
0.000 4.992 0.000
0.000 0.000 10.342
Nd Sm Tl
1 6 1
direct
0.000 0.000 0.500
0.500 0.500 0.000
0.500 0.500 0.500
0.500 0.000 0.242
0.500 0.000 0.758
0.000 0.500 0.242
0.000 0.500 0.758
0.000 0.000 0.000

Relative energy table, unit meV per atom: model a 99; model b 0